This record from Alexandria via LeMat-Bulk describes a relaxed structure of Ta2CrAg. The functional is GGA-PBE.

Distance to the lowest polymorph of the same formula in meV/atom: 222

Unit cell a=5.068 b=5.068 c=5.068 alpha=133.57 beta=133.57 gamma=67.76
Each line ends with the local moment (μB).
Fractional coordinates of all 4 atoms:
Cr 0.750 0.250 0.500  1.99
Ag 0.500 0.500 0.000  -0.02
Ta 0.250 0.750 0.500  -0.29
Ta 0.000 0.000 0.000  -0.19

This record from Alexandria via LeMat-Bulk describes a relaxed structure of ThAl4Pd15. The functional is GGA-PBE.

Raw total energy in eV per atom: -5.679

Unit cell a=4.032 b=4.032 c=19.333 alpha=90.00 beta=90.00 gamma=90.00
Fractional coordinates of all 20 atoms:
Pd 0.500 0.000 0.500
Pd 0.500 0.000 0.307
Pd 0.500 0.500 0.404
Al 0.000 0.000 0.787
Pd 0.500 0.500 0.596
Pd 0.000 0.500 0.888
Th 0.000 0.000 0.000
Pd 0.500 0.500 0.791
Al 0.000 0.000 0.596
Pd 0.500 0.000 0.112
Pd 0.500 0.500 0.209
Pd 0.000 0.500 0.112
Al 0.000 0.000 0.404
Pd 0.000 0.500 0.693
Al 0.000 0.000 0.213
Pd 0.500 0.500 0.000
Pd 0.000 0.500 0.307
Pd 0.000 0.500 0.500
Pd 0.500 0.000 0.693
Pd 0.500 0.000 0.888

This record from Alexandria via LeMat-Bulk describes a relaxed structure of HoEr7Tl2. The functional is GGA-PBE.

Raw total energy in eV per atom: -3.753

Unit cell a=5.260 b=8.983 c=8.983 alpha=119.12 beta=90.00 gamma=90.00
Fractional coordinates of all 10 atoms:
Er 0.500 0.938 0.699
Er 0.000 0.224 0.776
Er 0.000 0.776 0.224
Er 0.500 0.500 0.500
Ho 0.000 0.000 0.000
Tl 0.500 0.307 0.693
Tl 0.500 0.693 0.307
Er 0.500 0.062 0.301
Er 0.500 0.301 0.062
Er 0.500 0.699 0.938

This record from Alexandria via LeMat-Bulk describes a relaxed structure of CsScAs2Se. The functional is GGA-PBE.

Distance to the lowest polymorph of the same formula in meV/atom: 0
Uncorrected formation energy in eV per atom: -0.46

Unit cell a=5.289 b=5.289 c=5.376 alpha=90.00 beta=90.00 gamma=90.00
Each line ends with the local moment (μB).
Fractional coordinates of all 5 atoms:
Sc 0.000 0.000 0.000  0.00
Se 0.000 0.000 0.500  0.07
Cs 0.500 0.500 0.500  0.01
As 0.000 0.500 0.000  0.11
As 0.500 0.000 0.000  0.11

This record from Alexandria via LeMat-Bulk describes a relaxed structure of Lu5Pb3. The functional is GGA-PBE.

Raw total energy in eV per atom: -4.682

Unit cell a=8.872 b=8.872 c=6.467 alpha=90.00 beta=90.00 gamma=120.00
Fractional coordinates of all 16 atoms:
Lu 0.234 0.234 0.250
Pb 0.000 0.395 0.250
Lu 0.000 0.766 0.250
Lu 0.667 0.333 0.500
Lu 0.000 0.234 0.750
Lu 0.667 0.333 0.000
Pb 0.000 0.605 0.750
Pb 0.395 0.000 0.250
Lu 0.766 0.766 0.750
Pb 0.605 0.605 0.250
Lu 0.766 0.000 0.250
Lu 0.333 0.667 0.000
Lu 0.333 0.667 0.500
Pb 0.605 0.000 0.750
Lu 0.234 0.000 0.750
Pb 0.395 0.395 0.750

This record from Alexandria via LeMat-Bulk describes a relaxed structure of CsAlBr2. The functional is GGA-PBE.

Distance to the lowest polymorph of the same formula in meV/atom: 41
Uncorrected formation energy in eV per atom: -0.83

Unit cell a=5.853 b=5.853 c=5.853 alpha=60.00 beta=60.00 gamma=60.00
Fractional coordinates of all 4 atoms:
Br 0.750 0.750 0.750
Br 0.250 0.250 0.250
Cs 0.500 0.500 0.500
Al 0.000 0.000 0.000

This record from Alexandria via LeMat-Bulk describes a relaxed structure of LuCdRu4. The functional is GGA-PBE.

Raw total energy in eV per atom: -7.091

Unit cell a=5.243 b=5.243 c=5.243 alpha=60.00 beta=60.00 gamma=60.00
Each line ends with the local moment (μB).
Fractional coordinates of all 6 atoms:
Ru 0.625 0.625 0.124  0.29
Cd 0.000 0.000 0.000  -0.01
Lu 0.250 0.250 0.250  -0.04
Ru 0.625 0.124 0.625  0.29
Ru 0.625 0.625 0.625  0.29
Ru 0.124 0.625 0.625  0.29

This record from Alexandria via LeMat-Bulk describes a relaxed structure of LiZr2Rh. The functional is GGA-PBE.

Raw total energy in eV per atom: -6.667

Unit cell a=4.726 b=4.726 c=5.585 alpha=85.01 beta=85.01 gamma=37.08
Fractional coordinates of all 4 atoms:
Rh 0.250 0.250 0.250
Zr 0.497 0.497 0.494
Zr 0.003 0.003 0.006
Li 0.750 0.750 0.750

This record from Alexandria via LeMat-Bulk describes a relaxed structure of Sc2AlSi2Os5. The functional is GGA-PBE.

Uncorrected formation energy in eV per atom: -0.46

Unit cell a=3.210 b=9.716 c=9.716 alpha=90.00 beta=90.00 gamma=90.00
Fractional coordinates of all 20 atoms:
Si 0.000 0.130 0.630
Al 0.000 0.000 0.000
Os 0.500 0.702 0.435
Si 0.000 0.870 0.370
Os 0.500 0.500 0.000
Sc 0.000 0.672 0.172
Os 0.500 0.298 0.565
Os 0.500 0.565 0.702
Sc 0.000 0.828 0.672
Sc 0.000 0.172 0.328
Os 0.500 0.435 0.298
Os 0.500 0.798 0.935
Os 0.500 0.000 0.500
Sc 0.000 0.328 0.828
Os 0.500 0.935 0.202
Si 0.000 0.630 0.870
Os 0.500 0.065 0.798
Os 0.500 0.202 0.065
Al 0.000 0.500 0.500
Si 0.000 0.370 0.130

This record from Alexandria via LeMat-Bulk describes a relaxed structure of Nd2MgOs. The functional is GGA-PBE.

Raw total energy in eV per atom: -5.504

Unit cell a=3.775 b=5.073 c=5.073 alpha=90.00 beta=90.00 gamma=90.00
Fractional coordinates of all 4 atoms:
Mg 0.500 0.500 0.500
Nd 0.000 0.000 0.500
Nd 0.000 0.500 0.000
Os 0.500 0.000 0.000

This record from Alexandria via LeMat-Bulk describes a relaxed structure of Pm5HPb5. The functional is GGA-PBE.

Raw total energy in eV per atom: -4.518

Unit cell a=4.652 b=9.377 c=8.873 alpha=118.21 beta=90.00 gamma=104.36
Fractional coordinates of all 11 atoms:
Pb 0.698 0.396 0.198
Pb 0.302 0.604 0.802
Pm 0.856 0.713 0.094
H 0.000 0.000 0.000
Pm 0.144 0.287 0.382
Pb 0.657 0.314 0.657
Pm 0.856 0.713 0.618
Pb 0.343 0.686 0.343
Pb 0.000 0.000 0.500
Pm 0.500 0.000 0.000
Pm 0.144 0.287 0.906

This record from Alexandria via LeMat-Bulk describes a relaxed structure of Pa2GeSb3. The functional is GGA-PBE.

Uncorrected formation energy in eV per atom: -0.51

Unit cell a=4.247 b=4.247 c=8.690 alpha=90.00 beta=90.00 gamma=90.00
Fractional coordinates of all 6 atoms:
Sb 0.000 0.000 0.000
Pa 0.000 0.500 0.272
Sb 0.500 0.000 0.361
Pa 0.500 0.000 0.728
Sb 0.000 0.500 0.639
Ge 0.500 0.500 0.000

Number 1: DOS at the Fermi energy 3.8 states/eV/f.u., volume 67.2 Å³/cell. Number 2: DOS at the Fermi energy 13.9 states/eV/f.u., volume 314.4 Å³/cell. Number 3: DOS at the Fermi energy 17.9 states/eV/f.u., volume 370.9 Å³/cell. Number 4: DOS at the Fermi energy 4.6 states/eV/f.u., volume 150.4 Å³/cell. Number 5: DOS at the Fermi energy 4.0 states/eV/f.u., volume 440.9 Å³/cell. Number 6: DOS at the Fermi energy 0.0 states/eV/f.u., volume 141.8 Å³/cell. Number 7: DOS at the Fermi energy 9.1 states/eV/f.u., volume 101.9 Å³/cell. Number 8: DOS at the Fermi energy 3.9 states/eV/f.u., volume 74.9 Å³/cell. Number 9: DOS at the Fermi energy 8.1 states/eV/f.u., volume 303.0 Å³/cell. Number 10: DOS at the Fermi energy 4.1 states/eV/f.u., volume 97.2 Å³/cell. Number 11: DOS at the Fermi energy 6.8 states/eV/f.u., volume 327.3 Å³/cell. Number 12: DOS at the Fermi energy 3.8 states/eV/f.u., volume 156.8 Å³/cell.